DFT (PBEsol) results for a relaxed structure of Ag2PS3.

Summary:
D(E_F) ... 0.0 states/eV/f.u.
Volume ... 20.006 Å³/atom
Raw formation energy ... -182 meV/atom
Magnetic moment ... 0.00 μB/cell

Cell lengths 6.423, 11.722, 19.167 Å; angles 90.00, 93.38, 90.00 degrees
Sites, in units of the cell vectors:
Ag 0.978 0.269 0.711
S 0.122 0.653 0.135
Ag 0.482 0.338 0.866
Ag 0.518 0.662 0.134
S 0.910 0.557 0.702
Ag 0.909 0.067 0.908
P 0.541 0.595 0.509
Ag 0.521 0.874 0.396
Ag 0.613 0.073 0.170
S 0.902 0.643 0.896
S 0.158 0.387 0.514
Ag 0.479 0.374 0.104
P 0.950 0.993 0.625
S 0.650 0.187 0.060
S 0.878 0.153 0.365
P 0.834 0.021 0.734
S 0.473 0.625 0.610
Ag 0.613 0.427 0.670
P 0.166 0.979 0.266
S 0.304 0.471 0.943
S 0.910 0.943 0.202
Ag 0.084 0.706 0.012
S 0.842 0.613 0.486
S 0.098 0.143 0.604
S 0.098 0.357 0.104
S 0.686 0.629 0.257
Ag 0.091 0.567 0.592
P 0.459 0.405 0.491
Ag 0.084 0.794 0.512
S 0.090 0.057 0.798
P 0.050 0.007 0.375
S 0.304 0.029 0.443
S 0.122 0.847 0.635
Ag 0.022 0.731 0.289
S 0.314 0.371 0.743
S 0.314 0.129 0.243
S 0.527 0.125 0.890
Ag 0.022 0.769 0.789
Ag 0.916 0.294 0.988
S 0.350 0.813 0.940
P 0.541 0.905 0.009
S 0.696 0.529 0.057
S 0.878 0.347 0.865
Ag 0.521 0.626 0.896
Ag 0.387 0.573 0.330
Ag 0.387 0.927 0.830
S 0.842 0.887 0.986
S 0.527 0.375 0.390
Ag 0.482 0.162 0.366
Ag 0.091 0.933 0.092
S 0.090 0.443 0.298
Ag 0.909 0.433 0.408
S 0.645 0.160 0.728
Ag 0.518 0.838 0.634
S 0.645 0.340 0.228
S 0.355 0.840 0.272
P 0.050 0.493 0.875
P 0.834 0.479 0.234
S 0.686 0.871 0.757
P 0.459 0.095 0.991
S 0.355 0.660 0.772
P 0.166 0.521 0.766
Ag 0.978 0.231 0.211
S 0.473 0.875 0.110
S 0.650 0.313 0.560
S 0.158 0.113 0.014
S 0.696 0.971 0.557
S 0.350 0.687 0.440
S 0.902 0.857 0.396
Ag 0.479 0.126 0.604
P 0.950 0.507 0.125
Ag 0.916 0.206 0.488

=====

DFT (PBEsol) results for a relaxed structure of AgPS3.

Summary:
D(E_F) ... 4.2 states/eV/f.u.
Volume ... 20.241 Å³/atom
Raw formation energy ... 1121 meV/atom
Energy relative to the lowest polymorph listed for this composition ... 619 kJ/mol of formula units
Magnetic moment ... 0.00 μB/cell

Cell lengths 4.660, 4.660, 4.660 Å; angles 90.00, 90.00, 90.00 degrees
Sites, in units of the cell vectors:
S 0.000 0.000 0.500
S 0.500 0.000 0.000
S 0.000 0.500 0.000
P 0.500 0.500 0.500
Ag 0.000 0.000 0.000

=====

DFT (PBEsol) results for a relaxed structure of AgPS3.

Summary:
Volume ... 20.453 Å³/atom
Raw formation energy ... -163 meV/atom
Energy relative to the lowest polymorph listed for this composition ... 0 kJ/mol of formula units
Magnetic moment ... 0.00 μB/cell

Cell lengths 6.493, 6.493, 6.552 Å; angles 95.68, 115.56, 117.69 degrees
Sites, in units of the cell vectors:
S 0.655 0.290 0.945
S 0.232 0.732 0.500
Ag 0.281 0.281 0.000
S 0.869 0.828 0.697
P 0.063 0.657 0.719
S 0.768 0.268 0.500
P 0.937 0.343 0.281
S 0.345 0.710 0.055
S 0.131 0.172 0.303
Ag 0.719 0.719 0.000

=====

DFT (PBEsol) results for a relaxed structure of AgP2SeS.

Summary:
D(E_F) ... 5.9 states/eV/f.u.
Volume ... 20.782 Å³/atom
Raw formation energy ... 1152 meV/atom
Magnetic moment ... 0.14 μB/cell

Cell lengths 4.626, 4.739, 4.739 Å; angles 90.00, 90.00, 90.00 degrees
Sites, in units of the cell vectors:
P 0.000 0.500 0.000
Ag 0.000 0.000 0.000
P 0.000 0.000 0.500
Se 0.500 0.500 0.500
S 0.500 0.000 0.000

=====

DFT (PBEsol) results for a relaxed structure of SrAgP2S.

Summary:
D(E_F) ... 4.3 states/eV/f.u.
Volume ... 22.617 Å³/atom
Raw formation energy ... 47 meV/atom
Magnetic moment ... 0.00 μB/cell

Cell lengths 4.737, 4.737, 5.040 Å; angles 90.00, 90.00, 90.00 degrees
Sites, in units of the cell vectors:
Ag 0.000 0.000 0.000
P 0.000 0.500 0.000
S 0.000 0.000 0.500
Sr 0.500 0.500 0.500
P 0.500 0.000 0.000

=====

DFT (PBEsol) results for a relaxed structure of TlAgP2S.

Summary:
D(E_F) ... 4.6 states/eV/f.u.
Volume ... 25.890 Å³/atom
Raw formation energy ... 1405 meV/atom
Magnetic moment ... 1.70 μB/cell

Cell lengths 5.054, 5.054, 5.068 Å; angles 90.00, 90.00, 90.00 degrees
Last column: magnetic moment on the atom in μB.
Sites, in units of the cell vectors:
S 0.000 0.000 0.500  0.15
Ag 0.500 0.500 0.500  0.03
P 0.000 0.500 0.000  0.33
P 0.500 0.000 0.000  0.33
Tl 0.000 0.000 0.000  0.02

=====

DFT (PBEsol) results for a relaxed structure of VAgP2S6.

Summary:
D(E_F) ... 3.2 states/eV/f.u.
Volume ... 19.629 Å³/atom
Raw formation energy ... -396 meV/atom
Magnetic moment ... 2.64 μB/cell

Cell lengths 5.706, 6.689, 10.656 Å; angles 90.00, 90.00, 105.16 degrees
Last column: magnetic moment on the atom in μB.
Sites, in units of the cell vectors:
S 0.982 0.282 0.599  0.01
Ag 0.250 0.000 0.565  0.01
S 0.491 0.231 0.080  -0.03
S 0.969 0.235 0.226  -0.01
P 0.794 0.171 0.750  0.01
S 0.031 0.765 0.774  -0.01
S 0.518 0.718 0.599  0.01
P 0.706 0.829 0.750  0.01
Ag 0.750 0.000 0.435  0.01
S 0.531 0.765 0.226  -0.01
P 0.206 0.829 0.250  0.01
S 0.018 0.718 0.401  0.01
V 0.250 0.000 0.934  1.15
S 0.991 0.231 0.920  -0.03
S 0.009 0.769 0.080  -0.03
V 0.750 0.000 0.066  1.15
S 0.469 0.235 0.774  -0.01
S 0.482 0.282 0.401  0.01
S 0.509 0.769 0.920  -0.03
P 0.294 0.171 0.250  0.01

=====

DFT (PBEsol) results for a relaxed structure of ZnAg2P2S6.

Summary:
D(E_F) ... 0.0 states/eV/f.u.
Volume ... 19.972 Å³/atom
Raw formation energy ... -304 meV/atom
Magnetic moment ... 0.00 μB/cell

Cell lengths 6.206, 6.206, 26.442 Å; angles 92.62, 92.62, 119.94 degrees
Sites, in units of the cell vectors:
Zn 0.052 0.196 0.125
Ag 0.303 0.478 0.933
S 0.063 0.247 0.312
P 0.126 0.596 0.333
S 0.130 0.537 0.188
S 0.864 0.295 0.438
S 0.648 0.840 0.808
S 0.136 0.705 0.562
S 0.087 0.918 0.438
Zn 0.196 0.052 0.625
S 0.510 0.300 0.558
S 0.352 0.160 0.192
Zn 0.948 0.804 0.875
S 0.918 0.087 0.938
S 0.160 0.352 0.692
S 0.700 0.490 0.942
P 0.372 0.858 0.082
P 0.628 0.142 0.918
S 0.247 0.063 0.812
P 0.142 0.628 0.418
S 0.082 0.913 0.062
P 0.404 0.874 0.167
S 0.705 0.136 0.062
S 0.295 0.864 0.938
S 0.913 0.082 0.562
Ag 0.260 0.460 0.819
S 0.753 0.937 0.188
Zn 0.804 0.948 0.375
Ag 0.740 0.540 0.181
Ag 0.460 0.260 0.319
S 0.463 0.870 0.312
P 0.596 0.126 0.833
Ag 0.540 0.740 0.681
P 0.858 0.372 0.582
Ag 0.478 0.303 0.433
Ag 0.697 0.522 0.067
S 0.937 0.753 0.688
S 0.840 0.648 0.308
S 0.870 0.463 0.812
S 0.537 0.130 0.688
P 0.874 0.404 0.667
Ag 0.522 0.697 0.567
S 0.490 0.700 0.442
S 0.300 0.510 0.058

=====

DFT (PBEsol) results for a relaxed structure of Ag2SbP.

Summary:
D(E_F) ... 1.4 states/eV/f.u.
Volume ... 19.123 Å³/atom
Raw formation energy ... 386 meV/atom
Energy relative to the lowest polymorph listed for this composition ... 41 kJ/mol of formula units
Magnetic moment ... 0.00 μB/cell

Cell lengths 4.765, 4.765, 4.765 Å; angles 60.00, 60.00, 60.00 degrees
Sites, in units of the cell vectors:
P 0.500 0.500 0.500
Ag 0.750 0.750 0.750
Sb 0.250 0.250 0.250
Ag 0.000 0.000 0.000

=====

DFT (PBEsol) results for a relaxed structure of Ag2SbP.

Summary:
D(E_F) ... 2.1 states/eV/f.u.
Volume ... 19.398 Å³/atom
Raw formation energy ... 286 meV/atom
Energy relative to the lowest polymorph listed for this composition ... 3 kJ/mol of formula units
Magnetic moment ... 0.00 μB/cell

Cell lengths 5.965, 5.965, 5.965 Å; angles 124.15, 102.67, 102.67 degrees
Sites, in units of the cell vectors:
Ag 0.033 0.158 0.625
Ag 0.533 0.375 0.408
P 0.500 0.250 0.750
Ag 0.967 0.592 0.125
Ag 0.467 0.875 0.842
Sb 0.500 0.750 0.250
P 0.000 0.500 0.500
Sb 0.000 0.000 0.000

=====

DFT (PBEsol) results for a relaxed structure of Ag2SbP.

Summary:
D(E_F) ... 1.5 states/eV/f.u.
Volume ... 18.789 Å³/atom
Raw formation energy ... 279 meV/atom
Energy relative to the lowest polymorph listed for this composition ... 0 kJ/mol of formula units
Magnetic moment ... 0.00 μB/cell

Cell lengths 4.129, 4.129, 5.287 Å; angles 112.98, 112.98, 90.00 degrees
Sites, in units of the cell vectors:
Ag 0.750 0.250 0.500
Sb 0.000 0.000 0.000
Ag 0.250 0.750 0.500
P 0.500 0.500 0.000

=====

DFT (PBEsol) results for a relaxed structure of AgSb2P2.

Summary:
D(E_F) ... 2.0 states/eV/f.u.
Volume ... 20.790 Å³/atom
Raw formation energy ... 318 meV/atom
Magnetic moment ... 0.00 μB/cell

Cell lengths 3.708, 7.488, 7.488 Å; angles 90.00, 90.00, 90.00 degrees
Sites, in units of the cell vectors:
Ag 0.000 0.000 0.000
Sb 0.500 0.341 0.159
Ag 0.000 0.500 0.500
P 0.000 0.831 0.669
Sb 0.500 0.659 0.841
Sb 0.500 0.159 0.659
P 0.000 0.169 0.331
P 0.000 0.669 0.169
Sb 0.500 0.841 0.341
P 0.000 0.331 0.831